Entry from Alexandria via LeMat-Bulk: an optimized crystal structure of Sr2TiMnO5 (GGA+U).

Output
Relative energy among the computed polymorphs   0.1091 eV per atom
V   14.0 Å³/atom
Space group   Cmc2_1, No. 36

abc: 3.2773 7.0860 11.1886
angles: 90.00 90.00 103.37
Site moments in Bohr magnetons follow the coordinates.
Element x y z (fractional)
Ti: 0.2245 0.4490 0.0227  0.04
Ti: 0.7755 0.5510 0.5227  0.04
O: 0.4960 0.9920 0.7816  0.03
O: 0.6410 0.2821 0.4979  0.02
O: 0.3590 0.7179 0.9979  0.02
O: 0.5040 0.0080 0.2816  0.03
O: 0.0782 0.1565 0.0532  0.05
O: 0.2669 0.5338 0.6461  0.00
O: 0.2959 0.5919 0.4148  0.04
O: 0.7041 0.4081 0.9148  0.04
O: 0.7331 0.4662 0.1461  0.00
O: 0.9218 0.8435 0.5532  0.05
Mn: 0.4533 0.9067 0.4484  4.54
Mn: 0.5467 0.0933 0.9484  4.54
Sr: 0.8598 0.7196 0.7947  0.01
Sr: 0.0874 0.1747 0.6646  0.01
Sr: 0.9126 0.8253 0.1646  0.01
Sr: 0.1402 0.2804 0.2947  0.01